Ba5Ga4Se10 | PBE-GGA | optimized geometry Values from VASP.

Structure (Quantum ESPRESSO input):
```
&SYSTEM
  ibrav = 0, nat = 19, ntyp = 3
/
ATOMIC_SPECIES
Ba 137.33 Ba.upf
Ga 69.72 Ga.upf
Se 78.96 Se.upf
ATOMIC_POSITIONS angstrom
Ba 0.0000 0.0000 0.0000
Ba 3.1896 3.5448 4.9744
Ba 8.2363 7.0896 8.1237
Ba 4.5220 7.0896 8.1237
Ba 9.5688 10.6344 11.2454
Ga 7.6247 7.0896 3.5761
Ga 5.1336 7.0896 3.5761
Ga 6.3792 3.5303 8.2434
Ga 6.3792 10.6489 8.2434
Se 1.9250 1.9938 2.0537
Se 9.5157 7.0896 5.0516
Se 4.4541 5.0958 2.0537
Se 6.3792 4.9080 6.3086
Se 10.8333 9.0834 8.3247
Se 3.2426 7.0896 5.0516
Se 6.3792 9.2712 6.3086
Se 6.3792 5.0140 10.1219
Se 8.3042 12.1854 8.3247
Se 6.3792 9.1652 10.1219
CELL_PARAMETERS angstrom
0.0000 7.0896 6.2710
6.3792 0.0000 6.2710
6.3792 7.0896 0.0000
```

Results
Raw total energy ... -4.35 eV/atom